No. 1
Computed, not measured: a relaxed structure of Ta2VGeAu at the PBE level of DFT.

extended XYZ file:
```
5
Lattice="4.6487 0.0000 0.0000 0.0000 4.5956 0.0000 0.0000 0.0000 4.6487" Properties=species:S:1:pos:R:3 pbc="T T T"
V 0.0000 0.0000 0.0000
Ta 0.0000 0.0000 2.3244
Ta 2.3244 0.0000 0.0000
Au 2.3244 2.2978 2.3244
Ge 0.0000 2.2978 0.0000
```

Properties
D(E_F) = 6.88 states/eV/f.u.
M_tot = 0.0 μB per formula unit
calculated total energy = -7.199 eV/atom
formation energy = 91.1 kJ/mol of atoms

No. 2
Computed, not measured: a relaxed structure of Ho3ErTl3Te8 at the PBE level of DFT.

extended XYZ file:
```
15
Lattice="8.7407 -0.0012 -0.0009 -4.3714 7.5844 -0.0327 -0.0001 -5.0273 8.2174" Properties=species:S:1:pos:R:3 pbc="T T T"
Te 2.1898 -1.2534 2.3519
Te 4.3699 0.0200 5.8576
Te -0.0005 0.0259 5.8487
Te 4.3697 2.5300 2.3351
Te -2.1813 3.8099 5.8324
Te 2.1794 3.8093 5.8319
Te -0.0006 2.5359 2.3262
Te 6.5506 -1.2540 2.3514
Tl -2.1857 3.7922 -0.0163
Tl 0.0000 0.0000 0.0000
Tl 2.1847 3.7916 -0.0168
Ho -2.1857 1.2786 4.0923
Ho 4.3703 -2.5142 4.1082
Ho 2.1846 1.2780 4.0919
Er -0.0001 -2.5136 4.1087
```

Properties
uncorrected formation energy = -1046 meV per atom
D(E_F) = 5.65 states/eV/f.u.
M_tot = 0.0 μB per formula unit
calculated total energy = -4.414 eV/atom

No. 3
Computed, not measured: a relaxed structure of PmHoC at the PBE level of DFT.

extended XYZ file:
```
6
Lattice="-1.8698 -3.0312 0.6476 4.2400 -3.3075 -3.2395 3.5739 1.1342 5.5104" Properties=species:S:1:pos:R:3 pbc="T T T"
C 2.1200 -1.6537 -1.6197
C -0.9349 -1.5156 0.3238
Ho 1.7185 -2.2567 4.5161
Ho 4.2256 -2.9478 -1.5976
Pm 1.2285 -2.8251 0.4407
Pm 4.7156 -2.3794 2.4779
```

Properties
D(E_F) = 2.34 states/eV/f.u.
M_tot = 0.3 μB per formula unit
calculated total energy = -6.391 eV/atom
formation energy = -19.9 kJ/mol of atoms

No. 4
Computed, not measured: a relaxed structure of YZn2CuPd4 at the PBE level of DFT.

extended XYZ file:
```
8
Lattice="4.3951 0.0000 0.0000 2.1976 3.8063 0.0000 2.1976 1.2688 7.8171" Properties=species:S:1:pos:R:3 pbc="T T T"
Zn 2.1976 1.2688 2.1586
Zn 6.5927 3.8063 5.6585
Pd 4.3951 2.5375 6.4362
Pd 6.5927 3.8063 2.9761
Pd 4.3951 2.5375 1.3809
Pd 2.1976 1.2688 4.8410
Cu 4.3951 2.5375 3.9086
Y 0.0000 0.0000 0.0000
```

Properties
D(E_F) = 3.44 states/eV/f.u.
M_tot = 0.0 μB per formula unit
calculated total energy = -4.779 eV/atom
formation energy = -52.5 kJ/mol of atoms

No. 5
Computed, not measured: a relaxed structure of KY2SnTe at the PBE level of DFT.

extended XYZ file:
```
5
Lattice="5.7122 0.0000 0.0000 0.0000 5.9197 0.0000 0.0000 0.0000 5.7122" Properties=species:S:1:pos:R:3 pbc="T T T"
Sn 2.8561 2.9598 2.8561
Te 0.0000 0.0000 0.0000
Y 0.0000 0.0000 2.8561
Y 2.8561 0.0000 0.0000
K 0.0000 2.9598 0.0000
```

Properties
uncorrected formation energy = -135 meV per atom
D(E_F) = 3.21 states/eV/f.u.
M_tot = 0.0 μB per formula unit
calculated total energy = -4.370 eV/atom

No. 6
Computed, not measured: a relaxed structure of Rb2NpTe4Pb at the PBE level of DFT.

extended XYZ file:
```
8
Lattice="-3.3875 -3.1842 0.3692 5.4706 -6.1840 -3.1393 3.8188 -3.3227 6.3815" Properties=species:S:1:pos:R:3 pbc="T T T"
Np 4.6447 -4.7533 1.6212
Te 2.7020 -5.8484 3.8084
Te -0.7829 -5.8750 1.0589
Te 3.1999 -6.8425 -0.1969
Te 6.6848 -6.8158 2.5526
Rb 3.8188 -3.3227 6.3815
Rb 0.2157 -3.2534 3.3754
Pb 1.0416 -4.6841 -1.3850
```

Properties
uncorrected formation energy = -782 meV per atom
D(E_F) = 6.23 states/eV/f.u.
M_tot = 3.0 μB per formula unit
calculated total energy = -4.676 eV/atom

No. 7
Computed, not measured: a relaxed structure of Ce3In2Pb at the PBE level of DFT.

extended XYZ file:
```
6
Lattice="-0.1998 3.3119 -0.9762 -2.8094 -0.7244 -1.8827 -8.1826 2.7892 11.1369" Properties=species:S:1:pos:R:3 pbc="T T T"
Ce -5.4865 1.8702 7.4674
Ce 0.0000 0.0000 0.0000
Ce -2.6961 0.9190 3.6695
In -2.8566 1.7546 0.4107
In -8.3352 3.6221 7.8673
Pb -5.5959 2.6884 4.1390
```

Properties
D(E_F) = 17.79 states/eV/f.u.
M_tot = 3.6 μB per formula unit
calculated total energy = -4.866 eV/atom
formation energy = -35.5 kJ/mol of atoms

No. 8
Computed, not measured: a relaxed structure of Y2TlTc at the PBE level of DFT.

extended XYZ file:
```
4
Lattice="3.6789 0.0149 0.0000 -0.0150 3.6789 0.0000 0.0000 0.0000 7.2233" Properties=species:S:1:pos:R:3 pbc="T T T"
Y 1.8320 1.8469 2.1442
Y 0.0000 0.0000 6.9206
Tc 0.0000 0.0000 3.8173
Tl 1.8320 1.8469 5.1761
```

Properties
D(E_F) = 5.32 states/eV/f.u.
M_tot = 1.1 μB per formula unit
calculated total energy = -6.251 eV/atom
formation energy = 15.8 kJ/mol of atoms

No. 9
Computed, not measured: a relaxed structure of CuSb2Pb2 at the PBE level of DFT.

extended XYZ file:
```
10
Lattice="6.8764 0.0000 0.0000 0.0000 6.8764 0.0000 0.0000 0.0000 5.9113" Properties=species:S:1:pos:R:3 pbc="T T T"
Sb 2.4014 5.8396 0.0000
Sb 4.4750 1.0368 0.0000
Sb 5.8396 4.4750 0.0000
Sb 1.0368 2.4014 0.0000
Cu 3.4382 3.4382 0.0000
Cu 0.0000 0.0000 0.0000
Pb 2.0194 1.4188 2.9556
Pb 5.4576 2.0194 2.9556
Pb 4.8570 5.4576 2.9556
Pb 1.4188 4.8570 2.9556
```

Properties
uncorrected formation energy = 97 meV per atom
D(E_F) = 2.07 states/eV/f.u.
M_tot = 0.0 μB per formula unit
calculated total energy = -3.855 eV/atom

No. 10
Computed, not measured: a relaxed structure of Ce8Ge2Rh at the PBE level of DFT.

extended XYZ file:
```
11
Lattice="4.8604 0.0000 0.0000 0.0000 7.4002 0.0062 -2.4302 -3.1422 7.5364" Properties=species:S:1:pos:R:3 pbc="T T T"
Ce 2.4302 2.7590 0.9557
Ce 2.4302 5.7378 2.6600
Ce 0.0000 -1.4797 4.8826
Ce 0.0000 5.7062 0.1971
Ce 2.4302 3.4943 4.3540
Ce 0.0000 1.4991 6.5869
Ce 2.4302 -1.4481 7.3455
Ce 0.0000 0.7637 3.1886
Ge 0.0000 3.7255 2.5304
Ge 2.4302 0.5326 5.0122
Rh 2.4302 0.0000 0.0000
```

Properties
D(E_F) = 28.46 states/eV/f.u.
M_tot = 2.6 μB per formula unit
calculated total energy = -6.208 eV/atom
formation energy = -37.1 kJ/mol of atoms

No. 11
Computed, not measured: a relaxed structure of Ge2BiS at the PBE level of DFT.

extended XYZ file:
```
8
Lattice="-0.8101 -5.4631 -1.0836 2.4703 0.6289 -5.0177 7.2874 -3.9667 -0.0658" Properties=species:S:1:pos:R:3 pbc="T T T"
S 0.8301 -2.4171 -3.0507
S 5.2939 -2.8774 -4.0671
Ge 6.7609 -7.2450 -5.0683
Ge 6.2456 -4.7477 -2.6571
Ge 1.6760 -3.9794 -1.2519
Ge 3.2129 -1.6296 -3.3570
Bi 0.0000 0.0000 0.0000
Bi 3.6537 -5.9234 -2.1000
```

Properties
uncorrected formation energy = 220 meV per atom
D(E_F) = 1.08 states/eV/f.u.
M_tot = 0.0 μB per formula unit
calculated total energy = -4.091 eV/atom

No. 12
Computed, not measured: a relaxed structure of CuMoW4 at the PBE level of DFT.

extended XYZ file:
```
6
Lattice="0.9855 -4.9730 -1.2419 -2.9791 -2.4517 -3.5154 1.9433 -1.1809 -4.6982" Properties=species:S:1:pos:R:3 pbc="T T T"
W 1.4515 -4.1533 -4.1545
W -0.5220 -2.8982 -5.2862
W -0.9987 -4.7859 -3.5658
W -0.0314 -5.3737 -5.9044
Cu -0.0126 -2.1514 -2.3639
Mo 0.0000 0.0000 0.0000
```

Properties
D(E_F) = 6.71 states/eV/f.u.
M_tot = 0.0 μB per formula unit
calculated total energy = -10.581 eV/atom
formation energy = 52.3 kJ/mol of atoms